## LiCdI2O8 (PBE)

Data for a relaxed structure of LiCdI2O8.

abc: 6.219 6.219 6.219
angles: 107.02 107.02 114.50
Atoms (fractional coordinates):
Li: 0.000 0.000 0.000
Cd: 0.750 0.250 0.500
I: 0.250 0.750 0.500
I: 0.500 0.500 0.000
O: 0.078 0.388 0.311
O: 0.078 0.767 0.689
O: 0.130 0.322 0.809
O: 0.233 0.922 0.311
O: 0.513 0.322 0.191
O: 0.612 0.922 0.689
O: 0.678 0.487 0.809
O: 0.678 0.870 0.191

Properties
Total energy (eV per atom): -4.2253
ΔE_f (raw) (eV/atom): -0.4257
Symmetry: I-4m2, No. 119
Calculated volume (Å³/cell): 184.1
Theoretical density (kg/m3): 4521


## NaTaGaSi2 (PBE)

Data for a relaxed structure of NaTaGaSi2.

abc: 4.716 4.716 4.583
angles: 90.00 90.00 90.00
Atoms (fractional coordinates):
Na: 0.000 0.000 0.000
Ta: 0.500 0.500 0.000
Ga: 0.000 0.000 0.500
Si: 0.000 0.500 0.500
Si: 0.500 0.000 0.500

Properties
Total energy (eV per atom): -4.1082
ΔE_f (raw) (eV/atom): 1.3007
Symmetry: P4/mmm, No. 123
Calculated volume (Å³/cell): 101.9
Theoretical density (kg/m3): 5373


## TlSbTe (PBE)

Data for a relaxed structure of TlSbTe.

abc: 5.757 5.757 3.182
angles: 90.00 90.00 120.00
Atoms (fractional coordinates):
Tl: 0.000 0.000 0.000
Sb: 0.667 0.333 0.499
Te: 0.333 0.667 0.501

Properties
Total energy (eV per atom): -3.1522
ΔE_f (raw) (eV/atom): 0.0579
Symmetry: P3m1, No. 156
Calculated volume (Å³/cell): 91.3
Energy above the lowest structure with this stoichiometry (eV/atom): 0.0702
Theoretical density (kg/m3): 8250


## ScPtSe2N (PBE)

Data for a relaxed structure of ScPtSe2N.

abc: 5.181 5.181 3.848
angles: 90.00 90.00 90.00
Atoms (fractional coordinates):
Sc: 0.000 0.000 0.000
Pt: 0.500 0.500 0.500
Se: 0.000 0.500 0.000
Se: 0.500 0.000 0.000
N: 0.000 0.000 0.500

Properties
Total energy (eV per atom): -5.0015
ΔE_f (raw) (eV/atom): 0.5319
Symmetry: P4/mmm, No. 123
Calculated volume (Å³/cell): 103.3
Energy above the lowest structure with this stoichiometry (eV/atom): 0.5489
Theoretical density (kg/m3): 6623


Q: Which value of total energy does entry 2 give?
A: -4.1082 eV per atom